# 1
SrTc2BPb: relaxed, GGA-PBE.

Lattice parameters (Å, degrees): 5.150 5.150 4.792 90.00 90.00 90.00
Element x y z (fractional)
Sr1 0.000 0.000 0.000
Tc1 0.000 0.500 0.000
Tc2 0.500 0.000 0.000
B1 0.000 0.000 0.500
Pb1 0.500 0.500 0.500

Calculated values
**DFT formation energy**: 256.0 kJ per mole of atoms
**M_tot**: 4.62 μB per formula unit
**E_tot**: -3.91 eV/atom

# 2
TaB3Pb: relaxed, GGA-PBE.

Lattice parameters (Å, degrees): 4.401 4.401 4.401 90.00 90.00 90.00
Element x y z (fractional)
Ta1 0.000 0.000 0.000
B1 0.000 0.500 0.500
B2 0.500 0.000 0.500
B3 0.500 0.500 0.000
Pb1 0.500 0.500 0.500

Calculated values
**Offset from the most stable computed form**: 1638 meV/atom
**DFT formation energy**: 273.8 kJ per mole of atoms
**M_tot**: 0.00 μB per formula unit
**E_tot**: -4.28 eV/atom

# 3
TaBPb3: relaxed, GGA-PBE.

Lattice parameters (Å, degrees): 5.507 5.507 5.507 90.00 90.00 90.00
Element x y z (fractional)
Ta1 0.000 0.000 0.000
B1 0.500 0.500 0.500
Pb1 0.000 0.000 0.500
Pb2 0.000 0.500 0.000
Pb3 0.500 0.000 0.000

Calculated values
**Offset from the most stable computed form**: 81 meV/atom
**DFT formation energy**: 140.6 kJ per mole of atoms
**M_tot**: 0.43 μB per formula unit
**E_tot**: -4.47 eV/atom

# 4
Ta3BPb: relaxed, GGA-PBE.

Lattice parameters (Å, degrees): 4.439 4.439 4.439 90.00 90.00 90.00
Element x y z (fractional)
Ta1 0.000 0.000 0.500
Ta2 0.000 0.500 0.000
Ta3 0.500 0.000 0.000
B1 0.000 0.000 0.000
Pb1 0.500 0.500 0.500

Calculated values
**Offset from the most stable computed form**: 0 meV/atom
**DFT formation energy**: 22.7 kJ per mole of atoms
**M_tot**: 0.00 μB per formula unit
**E_tot**: -8.95 eV/atom

# 5
Ta3BPb: relaxed, GGA-PBE.

Lattice parameters (Å, degrees): 5.109 5.109 5.109 90.00 90.00 90.00
Element x y z (fractional)
Ta1 0.000 0.000 0.500
Ta2 0.000 0.500 0.000
Ta3 0.500 0.000 0.000
B1 0.500 0.500 0.500
Pb1 0.000 0.000 0.000

Calculated values
**Offset from the most stable computed form**: 3077 meV/atom
**DFT formation energy**: 319.6 kJ per mole of atoms
**M_tot**: 0.00 μB per formula unit
**E_tot**: -5.88 eV/atom

# 6
TaB3Pb: relaxed, GGA-PBE.

Lattice parameters (Å, degrees): 4.405 4.405 4.405 90.00 90.00 90.00
Element x y z (fractional)
Ta1 0.000 0.000 0.000
B1 0.000 0.000 0.500
B2 0.000 0.500 0.000
B3 0.500 0.000 0.000
Pb1 0.500 0.500 0.500

Calculated values
**Offset from the most stable computed form**: 0 meV/atom
**DFT formation energy**: 115.7 kJ per mole of atoms
**M_tot**: 0.00 μB per formula unit
**E_tot**: -5.92 eV/atom

# 7
TaBPb3: relaxed, GGA-PBE.

Lattice parameters (Å, degrees): 4.941 4.941 4.941 90.00 90.00 90.00
Element x y z (fractional)
Ta1 0.000 0.000 0.000
B1 0.500 0.500 0.500
Pb1 0.000 0.500 0.500
Pb2 0.500 0.000 0.500
Pb3 0.500 0.500 0.000

Calculated values
**Offset from the most stable computed form**: 0 meV/atom
**DFT formation energy**: 132.7 kJ per mole of atoms
**M_tot**: 0.00 μB per formula unit
**E_tot**: -4.56 eV/atom

# 8
Tb4BPb2: relaxed, GGA-PBE.

Lattice parameters (Å, degrees): 8.871 8.871 8.871 147.75 147.75 46.26
Element x y z (fractional)
Tb1 0.000 0.500 0.500
Tb2 0.164 0.164 0.000
Tb3 0.500 0.000 0.500
Tb4 0.836 0.836 0.000
B1 0.000 0.000 0.000
Pb1 0.361 0.361 0.000
Pb2 0.639 0.639 0.000

Calculated values
**DFT formation energy**: -38.4 kJ per mole of atoms
**M_tot**: 0.00 μB per formula unit
**E_tot**: -5.06 eV/atom

# 9
Tc2BPb2: relaxed, GGA-PBE.

Lattice parameters (Å, degrees): 4.924 4.924 4.040 90.00 90.00 90.00
Element x y z (fractional)
Tc1 0.000 0.000 0.000
Tc2 0.500 0.500 0.000
B1 0.000 0.000 0.500
Pb1 0.000 0.500 0.500
Pb2 0.500 0.000 0.500

Calculated values
**DFT formation energy**: 111.5 kJ per mole of atoms
**M_tot**: 1.77 μB per formula unit
**E_tot**: -5.81 eV/atom

# 10
Tc3BPb: relaxed, GGA-PBE.

Lattice parameters (Å, degrees): 4.235 4.235 4.235 90.00 90.00 90.00
Element x y z (fractional)
Tc1 0.000 0.000 0.500
Tc2 0.000 0.500 0.000
Tc3 0.500 0.000 0.000
B1 0.000 0.000 0.000
Pb1 0.500 0.500 0.500

Calculated values
**Offset from the most stable computed form**: 0 meV/atom
**DFT formation energy**: 32.8 kJ per mole of atoms
**M_tot**: 2.27 μB per formula unit
**E_tot**: -7.96 eV/atom

# 11
Tc3BPb: relaxed, GGA-PBE.

Lattice parameters (Å, degrees): 5.167 5.167 5.167 90.00 90.00 90.00
Element x y z (fractional)
Tc1 0.000 0.000 0.500
Tc2 0.000 0.500 0.000
Tc3 0.500 0.000 0.000
B1 0.500 0.500 0.500
Pb1 0.000 0.000 0.000

Calculated values
**Offset from the most stable computed form**: 2982 meV/atom
**DFT formation energy**: 320.6 kJ per mole of atoms
**M_tot**: 8.75 μB per formula unit
**E_tot**: -4.97 eV/atom

# 12
Tl2TcBPb: relaxed, GGA-PBE.

Lattice parameters (Å, degrees): 5.449 5.449 4.125 90.00 90.00 90.00
Element x y z (fractional)
Tl1 0.000 0.500 0.000
Tl2 0.500 0.000 0.000
Tc1 0.000 0.000 0.000
B1 0.000 0.000 0.500
Pb1 0.500 0.500 0.500

Calculated values
**DFT formation energy**: 71.1 kJ per mole of atoms
**M_tot**: 0.00 μB per formula unit
**E_tot**: -4.36 eV/atom

# 13
TcBPbW2: relaxed, GGA-PBE.

Lattice parameters (Å, degrees): 4.742 4.742 5.203 90.00 90.00 90.00
Element x y z (fractional)
Tc1 0.000 0.000 0.000
B1 0.500 0.500 0.500
Pb1 0.000 0.000 0.500
W1 0.000 0.500 0.000
W2 0.500 0.000 0.000

Calculated values
**DFT formation energy**: 241.6 kJ per mole of atoms
**M_tot**: 1.68 μB per formula unit
**E_tot**: -6.83 eV/atom

# 14
Y2TcBPb: relaxed, GGA-PBE.

Lattice parameters (Å, degrees): 5.101 5.101 4.133 90.00 90.00 90.00
Element x y z (fractional)
Y1 0.000 0.500 0.000
Y2 0.500 0.000 0.000
Tc1 0.000 0.000 0.500
B1 0.000 0.000 0.000
Pb1 0.500 0.500 0.500

Calculated values
**DFT formation energy**: -27.9 kJ per mole of atoms
**M_tot**: 0.00 μB per formula unit
**E_tot**: -7.03 eV/atom

# 15
BTe2Pb: relaxed, GGA-PBE.

Lattice parameters (Å, degrees): 5.320 5.320 5.320 60.00 60.00 60.00
Element x y z (fractional)
B1 0.000 0.000 0.000
Te1 0.250 0.250 0.250
Te2 0.750 0.750 0.750
Pb1 0.500 0.500 0.500

Calculated values
**Formation energy from raw total energies**: 4.05 eV/f.u.
**Offset from the most stable computed form**: 669 meV/atom
**M_tot**: 0.00 μB per formula unit
**E_tot**: -3.15 eV/atom

# 16
BTe2Pb: relaxed, GGA-PBE.

Lattice parameters (Å, degrees): 7.716 7.716 7.716 39.31 39.31 39.31
Element x y z (fractional)
B1 0.000 0.000 0.000
Te1 0.096 0.096 0.096
Te2 0.904 0.904 0.904
Pb1 0.500 0.500 0.500

Calculated values
**Formation energy from raw total energies**: 2.07 eV/f.u.
**Offset from the most stable computed form**: 175 meV/atom
**M_tot**: 0.99 μB per formula unit
**E_tot**: -3.65 eV/atom

# 17
B2TePb: relaxed, GGA-PBE.

Lattice parameters (Å, degrees): 4.708 4.708 4.708 60.00 60.00 60.00
Element x y z (fractional)
B1 0.250 0.250 0.250
B2 0.750 0.750 0.750
Te1 0.000 0.000 0.000
Pb1 0.500 0.500 0.500

Calculated values
**Formation energy from raw total energies**: 6.67 eV/f.u.
**Offset from the most stable computed form**: 888 meV/atom
**M_tot**: 0.00 μB per formula unit
**E_tot**: -3.38 eV/atom

# 18
B2Te2Pb: relaxed, GGA-PBE.

Lattice parameters (Å, degrees): 7.339 7.339 7.339 147.27 147.27 46.97
Element x y z (fractional)
B1 0.250 0.750 0.500
B2 0.750 0.250 0.500
Te1 0.161 0.161 0.000
Te2 0.839 0.839 0.000
Pb1 0.500 0.500 0.000

Calculated values
**Formation energy from raw total energies**: 4.68 eV/f.u.
**Offset from the most stable computed form**: 0 meV/atom
**M_tot**: 0.00 μB per formula unit
**E_tot**: -3.73 eV/atom

# 19
BTe2Pb: relaxed, GGA-PBE.

Lattice parameters (Å, degrees): 8.843 8.843 8.843 23.46 23.46 23.46
Element x y z (fractional)
B1 0.000 0.000 0.000
Te1 0.277 0.277 0.277
Te2 0.723 0.723 0.723
Pb1 0.500 0.500 0.500

Calculated values
**Formation energy from raw total energies**: 2.15 eV/f.u.
**Offset from the most stable computed form**: 194 meV/atom
**M_tot**: 0.00 μB per formula unit
**E_tot**: -3.63 eV/atom

# 20
BTe2Pb: relaxed, GGA-PBE.

Lattice parameters (Å, degrees): 6.749 6.749 6.749 117.59 117.59 94.23
Element x y z (fractional)
B1 0.000 0.000 0.000
B2 0.750 0.250 0.500
Te1 0.020 0.625 0.895
Te2 0.375 0.270 0.395
Te3 0.730 0.125 0.105
Te4 0.875 0.980 0.605
Pb1 0.250 0.750 0.500
Pb2 0.500 0.500 0.000

Calculated values
**Formation energy from raw total energies**: 1.38 eV/f.u.
**Offset from the most stable computed form**: 0 meV/atom
**M_tot**: 0.00 μB per formula unit
**E_tot**: -3.82 eV/atom